[1]
Crystalline K2LiSnSb2 at its relaxed geometry, computed with PBE.

Geometry as CIF:
```
data_K2LiSnSb2
_chemical_formula_sum 'K8 Li4 Sn4 Sb8'
_symmetry_space_group_name_H-M 'I b a m'
_symmetry_Int_Tables_number 72
_symmetry_space_group_name_Hall '-I 2 2c'
_cell_length_a 6.965
_cell_length_b 16.282
_cell_length_c 7.143
_cell_angle_alpha 90.00
_cell_angle_beta 90.00
_cell_angle_gamma 90.00
loop_
_atom_site_label
_atom_site_type_symbol
_atom_site_fract_x
_atom_site_fract_y
_atom_site_fract_z
K1 K 0.247 0.171 0.000
Li1 Li 0.000 0.000 0.250
Sn1 Sn 0.000 0.500 0.250
Sb1 Sb 0.245 0.102 0.500
```


[2]
Crystalline KLiSbTe2 at its relaxed geometry, computed with PBE.

Geometry as CIF:
```
data_KLiSbTe2
_chemical_formula_sum 'K1 Li1 Sb1 Te2'
_symmetry_space_group_name_H-M 'P 4/m m m'
_symmetry_Int_Tables_number 123
_symmetry_space_group_name_Hall '-P 4 2'
_cell_length_a 6.115
_cell_length_b 6.115
_cell_length_c 5.900
_cell_angle_alpha 90.00
_cell_angle_beta 90.00
_cell_angle_gamma 90.00
loop_
_atom_site_label
_atom_site_type_symbol
_atom_site_fract_x
_atom_site_fract_y
_atom_site_fract_z
K1 K 0.000 0.000 0.000
Li1 Li 0.500 0.500 0.500
Sb1 Sb 0.000 0.000 0.500
Te1 Te 0.000 0.500 0.000
```


[3]
Crystalline KLiSbTe2 at its relaxed geometry, computed with PBE.

Geometry as CIF:
```
data_KLiSbTe2
_chemical_formula_sum 'K1 Li1 Sb1 Te2'
_symmetry_space_group_name_H-M 'P m m m'
_symmetry_Int_Tables_number 47
_cell_length_a 4.292
_cell_length_b 4.479
_cell_length_c 8.372
_cell_angle_alpha 90.00
_cell_angle_beta 90.00
_cell_angle_gamma 90.00
loop_
_symmetry_equiv_pos_as_xyz
'x,y,z'
'-x,-y,-z'
'-x,-y,z'
'x,y,-z'
'x,-y,-z'
'-x,y,z'
'-x,y,-z'
'x,-y,z'
loop_
_atom_site_label
_atom_site_type_symbol
_atom_site_fract_x
_atom_site_fract_y
_atom_site_fract_z
K1 K 0.000 0.000 0.000
Li1 Li 0.000 0.500 0.500
Sb1 Sb 0.500 0.000 0.500
Te1 Te 0.500 0.500 0.249
```


How do the records compare in size of the total moment? In the order shown, they have 0.0, 0.4, 0.0 μB/f.u..
How do the records compare in formation energy without anion corrections? In the order shown, they have -437, 626, -593 meV per atom.
How do the records compare in final energy? In the order shown, they have -3.16, -2.06, -3.28 eV/atom.